A plane-wave DFT calculation with PBE-GGA was carried out for YMn after structural relaxation.

Structure (POSCAR):
```
YMn
1.0
-1.843 2.362 5.108
1.843 -2.362 5.108
1.843 2.362 -5.108
Y Mn
2 2
direct
0.360 0.110 0.250 Y
0.640 0.890 0.750 Y
0.089 0.339 0.750 Mn
0.911 0.661 0.250 Mn
```

Computed properties:
VASP energy ... -7.55 eV per atom
DFT formation energy ... 0.266 eV per atom
Magnetic moment ... 5.56 Bohr magnetons per cell
Space-group type ... Imma (74)
DOS at the Fermi energy ... 1.478 states/eV per atom

A plane-wave DFT calculation with PBE-GGA was carried out for YMn3 after structural relaxation.

Structure (POSCAR):
```
YMn3
1.0
4.028 0.000 0.000
0.000 5.835 0.000
0.000 0.000 5.668
Y Mn
2 6
direct
0.250 0.250 0.110 Y
0.750 0.750 0.890 Y
0.250 0.060 0.596 Mn
0.250 0.440 0.596 Mn
0.250 0.750 0.337 Mn
0.750 0.250 0.663 Mn
0.750 0.560 0.404 Mn
0.750 0.940 0.404 Mn
```

Computed properties:
VASP energy ... -8.32 eV per atom
DFT formation energy ... 0.175 eV per atom
Magnetic moment ... 0.00 Bohr magnetons per cell
Space-group type ... Pmmn (59)
DOS at the Fermi energy ... 1.263 states/eV per atom

A plane-wave DFT calculation with PBE-GGA was carried out for YMn after structural relaxation.

Structure (POSCAR):
```
YMn
1.0
3.389 0.000 0.000
0.000 5.310 0.000
0.000 0.000 5.144
Y Mn
2 2
direct
0.250 0.250 0.126 Y
0.750 0.750 0.874 Y
0.250 0.750 0.390 Mn
0.750 0.250 0.610 Mn
```

Computed properties:
VASP energy ... -7.37 eV per atom
DFT formation energy ... 0.450 eV per atom
Magnetic moment ... 6.47 Bohr magnetons per cell
Space-group type ... Pmmn (59)
DOS at the Fermi energy ... 1.315 states/eV per atom

A plane-wave DFT calculation with PBE-GGA was carried out for YMn after structural relaxation.

Structure (POSCAR):
```
YMn
1.0
-4.049 4.049 4.049
4.049 -4.049 4.049
4.049 4.049 -4.049
Y Mn
4 4
direct
0.000 0.000 0.427 Y
0.000 0.427 0.000 Y
0.427 0.000 0.000 Y
0.573 0.573 0.573 Y
0.000 0.000 0.793 Mn
0.000 0.793 0.000 Mn
0.207 0.207 0.207 Mn
0.793 0.000 0.000 Mn
```

Computed properties:
VASP energy ... -6.84 eV per atom
DFT formation energy ... 0.981 eV per atom
Magnetic moment ... 8.31 Bohr magnetons per cell
Space-group type ... I-43m (217)
DOS at the Fermi energy ... 1.034 states/eV per atom

A plane-wave DFT calculation with PBE-GGA was carried out for YMn after structural relaxation.

Structure (POSCAR):
```
YMn
1.0
3.365 0.000 0.000
-1.683 2.914 0.000
0.000 0.000 9.624
Y Mn
2 2
direct
0.333 0.667 0.333 Y
0.667 0.333 0.667 Y
0.333 0.667 0.902 Mn
0.667 0.333 0.098 Mn
```

Computed properties:
VASP energy ... -7.32 eV per atom
DFT formation energy ... 0.496 eV per atom
Magnetic moment ... 6.22 Bohr magnetons per cell
Space-group type ... P-3m1 (164)
DOS at the Fermi energy ... 1.078 states/eV per atom

A plane-wave DFT calculation with PBE-GGA was carried out for YMn after structural relaxation.

Structure (POSCAR):
```
YMn
1.0
1.657 0.957 9.900
-1.657 0.957 9.900
0.000 -1.913 9.900
Y Mn
2 2
direct
0.114 0.114 0.114 Y
0.886 0.886 0.886 Y
0.367 0.367 0.367 Mn
0.633 0.633 0.633 Mn
```

Computed properties:
VASP energy ... -7.29 eV per atom
DFT formation energy ... 0.526 eV per atom
Magnetic moment ... 7.41 Bohr magnetons per cell
Space-group type ... R-3m (166)
DOS at the Fermi energy ... 1.013 states/eV per atom

A plane-wave DFT calculation with PBE-GGA was carried out for YMn after structural relaxation.

Structure (POSCAR):
```
YMn
1.0
5.761 0.000 0.000
0.000 5.761 0.000
0.000 0.000 5.774
Y Mn
4 4
direct
0.191 0.191 0.000 Y
0.309 0.691 0.500 Y
0.691 0.309 0.500 Y
0.809 0.809 0.000 Y
0.162 0.162 0.500 Mn
0.338 0.662 0.000 Mn
0.662 0.338 0.000 Mn
0.838 0.838 0.500 Mn
```

Computed properties:
VASP energy ... -7.30 eV per atom
DFT formation energy ... 0.514 eV per atom
Magnetic moment ... 11.90 Bohr magnetons per cell
Space-group type ... P4_2/mnm (136)
DOS at the Fermi energy ... 1.263 states/eV per atom

A plane-wave DFT calculation with PBE-GGA was carried out for YMn after structural relaxation.

Structure (POSCAR):
```
YMn
1.0
3.278 0.000 0.000
0.000 3.278 0.000
0.000 0.000 7.956
Y Mn
2 2
direct
0.250 0.250 0.191 Y
0.750 0.750 0.809 Y
0.250 0.750 0.500 Mn
0.750 0.250 0.500 Mn
```

Computed properties:
VASP energy ... -7.38 eV per atom
DFT formation energy ... 0.435 eV per atom
Magnetic moment ... 0.01 Bohr magnetons per cell
Space-group type ... P4/nmm (129)
DOS at the Fermi energy ... 1.750 states/eV per atom

A plane-wave DFT calculation with PBE-GGA was carried out for Y4Mn5 after structural relaxation.

Structure (POSCAR):
```
Y4Mn5
1.0
8.544 0.000 0.000
-4.272 7.399 0.000
0.000 0.000 6.091
Y Mn
8 10
direct
0.000 0.000 0.000 Y
0.000 0.000 0.500 Y
0.000 0.364 0.250 Y
0.000 0.636 0.750 Y
0.364 0.000 0.250 Y
0.364 0.364 0.750 Y
0.636 0.000 0.750 Y
0.636 0.636 0.250 Y
0.000 0.316 0.750 Mn
0.000 0.684 0.250 Mn
0.316 0.000 0.750 Mn
0.316 0.316 0.250 Mn
0.333 0.667 0.000 Mn
0.333 0.667 0.500 Mn
0.667 0.333 0.000 Mn
0.667 0.333 0.500 Mn
0.684 0.000 0.250 Mn
0.684 0.684 0.750 Mn
```

Computed properties:
VASP energy ... -7.64 eV per atom
DFT formation energy ... 0.330 eV per atom
Magnetic moment ... 30.66 Bohr magnetons per cell
Space-group type ... P6_3/mcm (193)
DOS at the Fermi energy ... 1.146 states/eV per atom
Distance to the lowest polymorph of the same formula ... 47 meV per atom

A plane-wave DFT calculation with PBE-GGA was carried out for YMn3 after structural relaxation.

Structure (POSCAR):
```
YMn3
1.0
5.480 0.000 0.000
0.000 5.480 0.000
0.000 0.000 5.480
Y Mn
1 3
direct
0.000 0.000 0.000 Y
0.000 0.000 0.500 Mn
0.000 0.500 0.000 Mn
0.500 0.000 0.000 Mn
```

Computed properties:
VASP energy ... -6.34 eV per atom
DFT formation energy ... 2.151 eV per atom
Magnetic moment ... 12.10 Bohr magnetons per cell
Space-group type ... Pm-3m (221)
DOS at the Fermi energy ... 0.565 states/eV per atom

A plane-wave DFT calculation with PBE-GGA was carried out for YMn after structural relaxation.

Structure (POSCAR):
```
YMn
1.0
-5.209 5.209 1.814
5.209 -5.209 1.814
5.209 5.209 -1.814
Y Mn
4 4
direct
0.000 0.284 0.284 Y
0.000 0.716 0.716 Y
0.284 0.000 0.284 Y
0.716 0.000 0.716 Y
0.287 0.287 0.574 Mn
0.287 0.713 0.000 Mn
0.713 0.287 0.000 Mn
0.713 0.713 0.426 Mn
```

Computed properties:
VASP energy ... -7.43 eV per atom
DFT formation energy ... 0.384 eV per atom
Magnetic moment ... 0.00 Bohr magnetons per cell
Space-group type ... I4/mmm (139)
DOS at the Fermi energy ... 1.389 states/eV per atom

A plane-wave DFT calculation with PBE-GGA was carried out for YMn after structural relaxation.

Structure (POSCAR):
```
YMn
1.0
0.000 2.918 2.918
2.918 0.000 2.918
2.918 2.918 0.000
Y Mn
1 1
direct
0.000 0.000 0.000 Y
0.500 0.500 0.500 Mn
```

Computed properties:
VASP energy ... -7.14 eV per atom
DFT formation energy ... 0.672 eV per atom
Magnetic moment ... 3.21 Bohr magnetons per cell
Space-group type ... Fm-3m (225)
DOS at the Fermi energy ... 1.855 states/eV per atom

A plane-wave DFT calculation with PBE-GGA was carried out for YMn3 after structural relaxation.

Structure (POSCAR):
```
YMn3
1.0
4.105 0.000 0.000
0.000 4.105 0.000
0.000 0.000 4.105
Y Mn
1 3
direct
0.000 0.000 0.000 Y
0.000 0.500 0.500 Mn
0.500 0.000 0.500 Mn
0.500 0.500 0.000 Mn
```

Computed properties:
VASP energy ... -8.13 eV per atom
DFT formation energy ... 0.363 eV per atom
Magnetic moment ... 9.69 Bohr magnetons per cell
Space-group type ... Pm-3m (221)
DOS at the Fermi energy ... 0.450 states/eV per atom

A plane-wave DFT calculation with PBE-GGA was carried out for YMn after structural relaxation.

Structure (POSCAR):
```
YMn
1.0
1.694 0.978 4.692
-1.694 0.978 4.692
0.000 -1.956 4.692
Y Mn
1 1
direct
0.000 0.000 0.000 Y
0.500 0.500 0.500 Mn
```

Computed properties:
VASP energy ... -7.33 eV per atom
DFT formation energy ... 0.487 eV per atom
Magnetic moment ... 3.38 Bohr magnetons per cell
Space-group type ... R-3m (166)
DOS at the Fermi energy ... 1.272 states/eV per atom

A plane-wave DFT calculation with PBE-GGA was carried out for YMn after structural relaxation.

Structure (POSCAR):
```
YMn
1.0
3.059 0.000 0.000
0.000 3.059 0.000
0.000 0.000 8.443
Y Mn
2 2
direct
0.250 0.250 0.193 Y
0.750 0.750 0.807 Y
0.250 0.250 0.561 Mn
0.750 0.750 0.439 Mn
```

Computed properties:
VASP energy ... -7.53 eV per atom
DFT formation energy ... 0.285 eV per atom
Magnetic moment ... 0.00 Bohr magnetons per cell
Space-group type ... P4/nmm (129)
DOS at the Fermi energy ... 1.510 states/eV per atom

A plane-wave DFT calculation with PBE-GGA was carried out for YMn after structural relaxation.

Structure (POSCAR):
```
YMn
1.0
-1.734 6.274 3.139
1.734 -6.274 3.139
1.734 6.274 -3.139
Y Mn
3 3
direct
0.000 0.000 0.000 Y
0.511 0.230 0.281 Y
0.949 0.230 0.719 Y
0.230 0.830 0.400 Mn
0.429 0.830 0.600 Mn
0.505 0.505 0.000 Mn
```

Computed properties:
VASP energy ... -7.59 eV per atom
DFT formation energy ... 0.230 eV per atom
Magnetic moment ... 2.10 Bohr magnetons per cell
Space-group type ... Imm2 (44)
DOS at the Fermi energy ... 1.183 states/eV per atom

A plane-wave DFT calculation with PBE-GGA was carried out for YMn3 after structural relaxation.

Structure (POSCAR):
```
YMn3
1.0
3.401 0.000 0.000
-1.700 2.945 0.000
0.000 0.000 7.376
Y Mn
1 3
direct
0.000 0.000 0.000 Y
0.000 0.000 0.500 Mn
0.667 0.333 0.314 Mn
0.667 0.333 0.686 Mn
```

Computed properties:
VASP energy ... -8.01 eV per atom
DFT formation energy ... 0.484 eV per atom
Magnetic moment ... 3.02 Bohr magnetons per cell
Space-group type ... P-6m2 (187)
DOS at the Fermi energy ... 0.706 states/eV per atom

A plane-wave DFT calculation with PBE-GGA was carried out for Y4Mn5 after structural relaxation.

Structure (POSCAR):
```
Y4Mn5
1.0
-4.743 4.743 2.131
4.743 -4.743 2.131
4.743 4.743 -2.131
Y Mn
4 5
direct
0.000 0.295 0.295 Y
0.000 0.705 0.705 Y
0.295 0.000 0.295 Y
0.705 0.000 0.705 Y
0.000 0.000 0.000 Mn
0.362 0.362 0.725 Mn
0.362 0.638 0.000 Mn
0.638 0.362 0.000 Mn
0.638 0.638 0.275 Mn
```

Computed properties:
VASP energy ... -7.68 eV per atom
DFT formation energy ... 0.283 eV per atom
Magnetic moment ... 14.19 Bohr magnetons per cell
Space-group type ... I4/mmm (139)
DOS at the Fermi energy ... 0.893 states/eV per atom
Distance to the lowest polymorph of the same formula ... 0 meV per atom

A plane-wave DFT calculation with PBE-GGA was carried out for YMn after structural relaxation.

Structure (POSCAR):
```
YMn
1.0
3.431 0.000 0.000
-1.715 2.971 0.000
0.000 0.000 4.645
Y Mn
1 1
direct
0.000 0.000 0.000 Y
0.667 0.333 0.500 Mn
```

Computed properties:
VASP energy ... -7.34 eV per atom
DFT formation energy ... 0.472 eV per atom
Magnetic moment ... 3.23 Bohr magnetons per cell
Space-group type ... P-6m2 (187)
DOS at the Fermi energy ... 1.450 states/eV per atom

A plane-wave DFT calculation with PBE-GGA was carried out for YMn3 after structural relaxation.

Structure (POSCAR):
```
YMn3
1.0
3.099 0.000 0.000
0.000 4.506 0.000
0.000 0.000 5.140
Y Mn
1 3
direct
0.000 0.000 0.000 Y
0.000 0.500 0.620 Mn
0.500 0.000 0.495 Mn
0.500 0.500 0.194 Mn
```

Computed properties:
VASP energy ... -8.02 eV per atom
DFT formation energy ... 0.475 eV per atom
Magnetic moment ... 9.72 Bohr magnetons per cell
Space-group type ... Pmm2 (25)
DOS at the Fermi energy ... 1.082 states/eV per atom